The following is a DFT calculation (GGA-PBEsol) of a relaxed DyScO3 crystal.

Cell lengths 5.392, 5.692, 7.857 Å; angles 90.00, 90.00, 90.00 degrees
Fractional coordinates of all 20 atoms:
O (0.309, 0.694, 0.431)
Sc (0.000, 0.500, 0.500)
Dy (0.521, 0.564, 0.750)
O (0.309, 0.694, 0.069)
O (0.369, 0.943, 0.750)
O (0.131, 0.443, 0.750)
O (0.809, 0.806, 0.569)
Sc (0.500, 0.000, 0.500)
O (0.691, 0.306, 0.569)
Sc (0.000, 0.500, 0.000)
O (0.631, 0.057, 0.250)
O (0.869, 0.557, 0.250)
O (0.809, 0.806, 0.931)
Sc (0.500, 0.000, 0.000)
Dy (0.021, 0.936, 0.250)
O (0.691, 0.306, 0.931)
O (0.191, 0.194, 0.431)
O (0.191, 0.194, 0.069)
Dy (0.979, 0.064, 0.750)
Dy (0.479, 0.436, 0.250)

Output
**Spin magnetization**: 0.00 μB per formula unit
**Raw formation energy**: -3.608 eV/atom
**Calculated volume**: 12.057 Å³/atom
**Space-group type**: Pnma (62)